[1]
A relaxed Ni2MoW crystal. Source: the Alexandria database, functional GGA-PBE.

Cell lengths 2.658, 3.692, 5.514 Å; angles 90.00, 90.00, 90.00 degrees
Fractional coordinates of all 4 atoms:
Mo1 0.500 0.500 0.774
Ni1 0.000 0.000 0.011
Ni2 0.500 0.500 0.240
W1 0.000 0.000 0.474

**Energy relative to the lowest polymorph listed for this composition**: 74 meV per atom
**DOS at the Fermi energy**: 3.618 states/eV/cell
**Calculated volume**: 13.53 Å³ per atom
**Energy of formation**: 0.07 eV per atom
**E**: -8.771 eV/atom

***

[2]
A relaxed TiBrNF2 crystal. Source: the Alexandria database, functional GGA-PBE.

Cell lengths 3.928, 3.928, 4.246 Å; angles 90.00, 90.00, 90.00 degrees
Fractional coordinates of all 5 atoms:
N1 0.000 0.000 0.500
F1 0.000 0.500 0.000
F2 0.500 0.000 0.000
Br1 0.500 0.500 0.500
Ti1 0.000 0.000 0.000

**Formation energy without anion corrections**: -616 kJ/mol of formula units
**Energy relative to the lowest polymorph listed for this composition**: 0 meV per atom
**DOS at the Fermi energy**: 2.145 states/eV/cell
**Calculated volume**: 13.10 Å³ per atom
**E**: -5.604 eV/atom

***

[3]
A relaxed AgIrW3 crystal. Source: the Alexandria database, functional GGA-PBE.

Cell lengths 4.761, 4.761, 4.761 Å; angles 90.00, 90.00, 90.00 degrees
Fractional coordinates of all 5 atoms:
Ir1 0.000 0.000 0.000
Ag1 0.500 0.500 0.500
W1 0.000 0.500 0.000
W2 0.000 0.000 0.500
W3 0.500 0.000 0.000

**Energy relative to the lowest polymorph listed for this composition**: 0 meV per atom
**DOS at the Fermi energy**: 5.585 states/eV/cell
**Calculated volume**: 21.58 Å³ per atom
**Energy of formation**: 1.95 eV per atom
**E**: -8.160 eV/atom

***

[4]
A relaxed MgTaV3 crystal. Source: the Alexandria database, functional GGA-PBE.

Cell lengths 4.667, 4.667, 4.667 Å; angles 90.00, 90.00, 90.00 degrees
Fractional coordinates of all 5 atoms:
Mg1 0.500 0.500 0.500
Ta1 0.000 0.000 0.000
V1 0.000 0.500 0.000
V2 0.000 0.000 0.500
V3 0.500 0.000 0.000

**Energy relative to the lowest polymorph listed for this composition**: 0 meV per atom
**DOS at the Fermi energy**: 9.701 states/eV/cell
**Calculated volume**: 20.33 Å³ per atom
**Energy of formation**: 1.31 eV per atom
**E**: -6.850 eV/atom

***

[5]
A relaxed AcCuSn crystal. Source: the Alexandria database, functional GGA-PBE.

Cell lengths 4.666, 4.666, 8.743 Å; angles 90.00, 90.00, 120.01 degrees
Fractional coordinates of all 6 atoms:
Ac1 0.000 0.500 0.500
Ac2 0.000 0.500 0.000
Cu1 0.333 0.167 0.750
Cu2 0.667 0.833 0.250
Sn1 0.666 0.834 0.750
Sn2 0.334 0.166 0.250

**Energy relative to the lowest polymorph listed for this composition**: 0 meV per atom
**DOS at the Fermi energy**: 1.199 states/eV/cell
**Calculated volume**: 27.47 Å³ per atom
**Energy of formation**: -0.55 eV per atom
**E**: -4.618 eV/atom

***

[6]
A relaxed PaGe2Pb crystal. Source: the Alexandria database, functional GGA-PBE.

Cell lengths 4.139, 4.640, 4.640 Å; angles 90.00, 90.00, 90.00 degrees
Fractional coordinates of all 4 atoms:
Pb1 0.500 0.000 0.000
Ge1 0.000 0.000 0.500
Ge2 0.000 0.500 0.000
Pa1 0.500 0.500 0.500

**Energy relative to the lowest polymorph listed for this composition**: 0 meV per atom
**DOS at the Fermi energy**: 3.649 states/eV/cell
**Calculated volume**: 22.28 Å³ per atom
**Energy of formation**: -0.25 eV per atom
**E**: -5.856 eV/atom

***

[7]
A relaxed AlMo4 crystal. Source: the Alexandria database, functional GGA-PBE.

Cell lengths 5.210, 5.210, 5.210 Å; angles 95.31, 95.31, 144.56 degrees
Fractional coordinates of all 5 atoms:
Al1 0.000 0.000 0.000
Mo1 0.806 0.391 0.197
Mo2 0.391 0.194 0.584
Mo3 0.194 0.609 0.803
Mo4 0.609 0.806 0.416

**Energy relative to the lowest polymorph listed for this composition**: 0 meV per atom
**DOS at the Fermi energy**: 3.185 states/eV/cell
**Calculated volume**: 15.62 Å³ per atom
**Energy of formation**: -0.12 eV per atom
**E**: -9.537 eV/atom

***

[8]
A relaxed MgP2Cl crystal. Source: the Alexandria database, functional GGA-PBE.

Cell lengths 3.739, 3.739, 8.440 Å; angles 78.37, 78.37, 53.99 degrees
Fractional coordinates of all 4 atoms:
Cl1 0.549 0.549 0.391
Mg1 0.276 0.276 0.228
P1 0.970 0.970 0.000
P2 0.705 0.705 0.881

**Formation energy without anion corrections**: -222 kJ/mol of formula units
**Energy relative to the lowest polymorph listed for this composition**: 0 meV per atom
**DOS at the Fermi energy**: 0.785 states/eV/cell
**Calculated volume**: 23.24 Å³ per atom
**E**: -4.141 eV/atom

***

[9]
A relaxed LaHfSiOs2 crystal. Source: the Alexandria database, functional GGA-PBE.

Cell lengths 4.792, 5.236, 4.792 Å; angles 90.00, 90.00, 90.00 degrees
Fractional coordinates of all 5 atoms:
Hf1 0.000 0.500 0.000
Si1 0.500 0.500 0.500
Os1 0.000 0.000 0.500
Os2 0.500 0.000 0.000
La1 0.000 0.000 0.000

**Formation energy without anion corrections**: 1173 kJ/mol of formula units
**DOS at the Fermi energy**: 7.482 states/eV/cell
**Calculated volume**: 24.05 Å³ per atom
**E**: -6.121 eV/atom

***

[10]
A relaxed Sm2CuAg crystal. Source: the Alexandria database, functional GGA-PBE.

Cell lengths 3.949, 3.949, 8.232 Å; angles 76.12, 76.12, 60.00 degrees
Fractional coordinates of all 4 atoms:
Cu1 0.000 0.000 0.000
Ag1 0.500 0.500 0.500
Sm1 0.743 0.743 0.771
Sm2 0.257 0.257 0.229

**Energy relative to the lowest polymorph listed for this composition**: 224 meV per atom
**DOS at the Fermi energy**: 4.558 states/eV/cell
**Calculated volume**: 26.70 Å³ per atom
**Energy of formation**: -0.01 eV per atom
**E**: -4.102 eV/atom

***

[11]
A relaxed Pu3Mg2UN6 crystal. Source: the Alexandria database, functional GGA-PBE.

Cell lengths 5.867, 5.867, 5.883 Å; angles 99.28, 99.28, 120.26 degrees
Fractional coordinates of all 12 atoms:
Pu1 0.173 0.827 0.500
Pu2 0.827 0.173 0.500
Pu3 0.500 0.500 0.500
Mg1 0.333 0.667 0.000
Mg2 0.667 0.333 0.000
U1 0.000 0.000 0.000
N1 0.919 0.598 0.762
N2 0.763 0.763 0.246
N3 0.081 0.402 0.238
N4 0.598 0.919 0.762
N5 0.237 0.237 0.754
N6 0.402 0.081 0.238

**Formation energy without anion corrections**: -1285 kJ/mol of formula units
**DOS at the Fermi energy**: 19.012 states/eV/cell
**Calculated volume**: 13.79 Å³ per atom
**E**: -10.062 eV/atom

***

[12]
A relaxed Tb2CI crystal. Source: the Alexandria database, functional GGA-PBE.

Cell lengths 3.948, 6.106, 9.769 Å; angles 90.02, 89.97, 90.00 degrees
Fractional coordinates of all 8 atoms:
Tb1 0.701 0.668 0.175
Tb2 0.702 0.487 0.801
Tb3 0.200 0.988 0.415
Tb4 0.201 0.168 0.041
C1 0.201 0.877 0.202
C2 0.701 0.377 0.014
I1 0.202 0.901 0.756
I2 0.700 0.402 0.460

**Formation energy without anion corrections**: -130 kJ/mol of formula units
**DOS at the Fermi energy**: 3.676 states/eV/cell
**Calculated volume**: 29.44 Å³ per atom
**E**: -5.345 eV/atom

***

[13]
A relaxed RbEu2Au crystal. Source: the Alexandria database, functional GGA-PBE.

Cell lengths 3.888, 3.888, 10.979 Å; angles 90.00, 90.00, 90.00 degrees
Fractional coordinates of all 4 atoms:
Eu1 0.000 0.000 0.843
Eu2 0.000 0.000 0.157
Au1 0.500 0.500 0.000
Rb1 0.500 0.500 0.500

**Energy relative to the lowest polymorph listed for this composition**: 0 meV per atom
**DOS at the Fermi energy**: 21.365 states/eV/cell
**Calculated volume**: 41.49 Å³ per atom
**Energy of formation**: -0.30 eV per atom
**E**: -6.499 eV/atom

***

[14]
A relaxed Te8Pt3Au3 crystal. Source: the Alexandria database, functional GGA-PBE.

Cell lengths 8.190, 8.190, 8.190 Å; angles 60.19, 60.19, 60.19 degrees
Fractional coordinates of all 14 atoms:
Te1 0.764 0.764 0.764
Te2 0.210 0.758 0.758
Te3 0.758 0.210 0.758
Te4 0.758 0.758 0.210
Te5 0.236 0.236 0.236
Te6 0.790 0.242 0.242
Te7 0.242 0.790 0.242
Te8 0.242 0.242 0.790
Pt1 0.500 0.000 0.000
Pt2 0.000 0.500 0.000
Pt3 0.000 0.000 0.500
Au1 0.377 0.377 0.377
Au2 0.623 0.623 0.623
Au3 0.000 0.000 0.000

**Formation energy without anion corrections**: -308 kJ/mol of formula units
**DOS at the Fermi energy**: 6.693 states/eV/cell
**Calculated volume**: 27.87 Å³ per atom
**E**: -4.020 eV/atom

***

[15]
A relaxed Mn3HOs crystal. Source: the Alexandria database, functional GGA-PBE.

Cell lengths 4.545, 4.545, 6.159 Å; angles 68.35, 68.35, 90.00 degrees
Fractional coordinates of all 10 atoms:
H1 0.000 0.000 0.000
H2 0.250 0.750 0.500
Mn1 0.627 0.902 0.196
Mn2 0.098 0.373 0.804
Mn3 0.098 0.823 0.804
Mn4 0.177 0.902 0.196
Mn5 0.292 0.292 0.416
Mn6 0.708 0.708 0.584
Os1 0.623 0.123 0.755
Os2 0.877 0.377 0.245

**Energy relative to the lowest polymorph listed for this composition**: 510 meV per atom
**DOS at the Fermi energy**: 13.487 states/eV/cell
**Calculated volume**: 10.86 Å³ per atom
**E**: -7.949 eV/atom

***

[16]
A relaxed Li2YMnFe crystal. Source: the Alexandria database, functional GGA-PBE.

Cell lengths 4.545, 4.230, 4.545 Å; angles 90.00, 90.00, 90.00 degrees
Fractional coordinates of all 5 atoms:
Y1 0.500 0.500 0.500
Mn1 0.000 0.500 0.000
Fe1 0.000 0.000 0.000
Li1 0.000 0.000 0.500
Li2 0.500 0.000 0.000

**DOS at the Fermi energy**: 2.759 states/eV/cell
**Calculated volume**: 17.47 Å³ per atom
**Energy of formation**: 0.47 eV per atom
**E**: -5.118 eV/atom

***

[17]
A relaxed In12Bi5S3 crystal. Source: the Alexandria database, functional GGA-PBE.

Cell lengths 15.511, 15.511, 15.511 Å; angles 109.47, 109.47, 109.47 degrees
Fractional coordinates of all 80 atoms:
S1 0.750 0.375 0.125
S2 0.875 0.750 0.125
S3 0.375 0.750 0.625
S4 0.250 0.125 0.375
S5 0.875 0.125 0.250
S6 0.375 0.625 0.250
S7 0.625 0.375 0.750
S8 0.125 0.875 0.750
S9 0.750 0.875 0.625
S10 0.625 0.250 0.375
S11 0.125 0.250 0.875
S12 0.250 0.625 0.875
Bi1 0.125 0.375 0.250
Bi2 0.000 0.500 0.000
Bi3 0.000 0.000 0.000
Bi4 0.375 0.250 0.125
Bi5 0.500 0.000 0.500
Bi6 0.500 0.500 0.000
Bi7 0.125 0.750 0.375
Bi8 0.750 0.125 0.875
Bi9 0.750 0.625 0.375
Bi10 0.375 0.125 0.750
Bi11 0.625 0.875 0.250
Bi12 0.500 0.500 0.500
Bi13 0.500 0.000 0.000
Bi14 0.000 0.000 0.500
Bi15 0.250 0.375 0.625
Bi16 0.250 0.875 0.125
Bi17 0.000 0.500 0.500
Bi18 0.875 0.250 0.625
Bi19 0.625 0.750 0.875
Bi20 0.875 0.625 0.750
In1 0.725 0.174 0.069
In2 0.344 0.569 0.396
In3 0.931 0.326 0.275
In4 0.569 0.225 0.174
In5 0.552 0.725 0.656
In6 0.931 0.604 0.156
In7 0.344 0.775 0.448
In8 0.104 0.948 0.174
In9 0.604 0.931 0.656
In10 0.725 0.552 0.156
In11 0.775 0.431 0.326
In12 0.844 0.896 0.069
In13 0.174 0.725 0.569
In14 0.326 0.396 0.052
In15 0.052 0.896 0.326
In16 0.448 0.174 0.604
In17 0.052 0.156 0.225
In18 0.431 0.656 0.104
In19 0.844 0.948 0.275
In20 0.174 0.448 0.104
In21 0.326 0.931 0.775
In22 0.604 0.674 0.448
In23 0.896 0.844 0.569
In24 0.775 0.344 0.948
In25 0.396 0.326 0.552
In26 0.104 0.156 0.431
In27 0.225 0.656 0.052
In28 0.156 0.052 0.725
In29 0.674 0.069 0.225
In30 0.826 0.552 0.896
In31 0.569 0.344 0.896
In32 0.552 0.826 0.396
In33 0.948 0.844 0.775
In34 0.948 0.104 0.674
In35 0.826 0.275 0.431
In36 0.156 0.104 0.931
In37 0.674 0.604 0.948
In38 0.396 0.069 0.344
In39 0.275 0.448 0.844
In40 0.225 0.569 0.674
In41 0.896 0.052 0.826
In42 0.656 0.225 0.552
In43 0.431 0.775 0.826
In44 0.069 0.396 0.844
In45 0.448 0.275 0.344
In46 0.069 0.674 0.725
In47 0.656 0.431 0.604
In48 0.275 0.826 0.931

**Formation energy without anion corrections**: 128 kJ/mol of formula units
**DOS at the Fermi energy**: 30.182 states/eV/cell
**Calculated volume**: 35.91 Å³ per atom
**E**: -3.166 eV/atom

***

[18]
A relaxed Pm5Nd2YMg crystal. Source: the Alexandria database, functional GGA-PBE.

Cell lengths 5.560, 10.474, 10.858 Å; angles 90.00, 90.00, 105.39 degrees
Fractional coordinates of all 18 atoms:
Pm1 0.381 0.762 0.008
Pm2 0.711 0.421 0.808
Pm3 0.500 0.000 0.758
Pm4 0.290 0.579 0.708
Pm5 0.985 0.970 0.508
Pm6 0.619 0.238 0.508
Pm7 0.289 0.579 0.308
Pm8 0.500 0.000 0.258
Pm9 0.710 0.421 0.208
Pm10 0.015 0.030 0.008
Nd1 0.885 0.770 0.799
Nd2 0.115 0.230 0.718
Nd3 0.115 0.230 0.299
Nd4 0.885 0.770 0.218
Y1 0.798 0.595 0.508
Y2 0.202 0.405 0.008
Mg1 0.595 0.190 0.008
Mg2 0.405 0.810 0.508

**DOS at the Fermi energy**: 26.102 states/eV/cell
**Calculated volume**: 33.87 Å³ per atom
**Energy of formation**: 0.09 eV per atom
**E**: -4.509 eV/atom

***

[19]
A relaxed NaLi2TlH crystal. Source: the Alexandria database, functional GGA-PBE.

Cell lengths 4.369, 4.369, 4.590 Å; angles 90.00, 90.00, 90.00 degrees
Fractional coordinates of all 5 atoms:
Na1 0.000 0.000 0.500
Tl1 0.500 0.500 0.500
H1 0.000 0.000 0.000
Li1 0.000 0.500 0.000
Li2 0.500 0.000 0.000

**DOS at the Fermi energy**: 2.040 states/eV/cell
**Calculated volume**: 17.53 Å³ per atom
**E**: -2.301 eV/atom

***

[20]
A relaxed AcCePd4 crystal. Source: the Alexandria database, functional GGA-PBE.

Cell lengths 5.591, 5.591, 5.591 Å; angles 60.00, 60.00, 60.00 degrees
Fractional coordinates of all 6 atoms:
Ac1 0.250 0.250 0.250
Pd1 0.625 0.625 0.124
Pd2 0.625 0.124 0.625
Pd3 0.625 0.625 0.625
Pd4 0.124 0.625 0.625
Ce1 0.000 0.000 0.000

**DOS at the Fermi energy**: 7.820 states/eV/cell
**Calculated volume**: 20.59 Å³ per atom
**Energy of formation**: -0.71 eV per atom
**E**: -5.846 eV/atom

***

[21]
A relaxed TeSI2O crystal. Source: the Alexandria database, functional GGA-PBE.

Cell lengths 5.296, 5.296, 4.450 Å; angles 90.00, 90.00, 90.00 degrees
Fractional coordinates of all 5 atoms:
I1 0.000 0.500 0.000
I2 0.500 0.000 0.000
S1 0.500 0.500 0.500
Te1 0.000 0.000 0.500
O1 0.000 0.000 0.000

**Formation energy without anion corrections**: 350 kJ/mol of formula units
**Energy relative to the lowest polymorph listed for this composition**: 403 meV per atom
**DOS at the Fermi energy**: 5.075 states/eV/cell
**Calculated volume**: 24.96 Å³ per atom
**E**: -2.341 eV/atom

***

[22]
A relaxed CeNd2ThSe4 crystal. Source: the Alexandria database, functional GGA-PBE.

Cell lengths 4.202, 7.338, 7.281 Å; angles 70.73, 90.00, 90.00 degrees
Fractional coordinates of all 8 atoms:
Ce1 0.500 0.500 0.000
Nd1 0.000 0.000 0.000
Nd2 0.500 0.000 0.500
Th1 0.000 0.500 0.500
Se1 0.000 0.749 0.751
Se2 0.000 0.251 0.249
Se3 0.500 0.750 0.250
Se4 0.500 0.250 0.750

**Formation energy without anion corrections**: -1356 kJ/mol of formula units
**DOS at the Fermi energy**: 8.847 states/eV/cell
**Calculated volume**: 26.49 Å³ per atom
**E**: -6.361 eV/atom